Record 1
VASP calculation (PBE) on a geometry-optimized TmMg2Cd3 structure.

Results
- magnetization (μB per cell) = 0.0
- energy above the lowest structure with this stoichiometry (kJ/mol of formula units) = 59
- E_tot (eV/atom) = -1.8197
- calculated formation energy (eV/atom) = -0.085

abc: 6.1109 6.9824 6.9824
angles: 76.10 90.00 90.00
Closest atoms and distances in Å follow each position.
Fractional positions:
Cd  0.7500  0.0204  0.9796  4 Mg 2.95, 4 Cd 2.98-3.08, 1 Tm 3.10
Cd  0.2500  0.1470  0.5861  4 Mg 2.86-3.05, 2 Cd 2.94-2.98
Mg  0.5000  0.7706  0.7706  6 Cd 2.86-3.05, 2 Mg 3.06
Mg  0.5000  0.2294  0.2294  6 Cd 2.86-3.05, 2 Mg 3.06
Cd  0.7500  0.8530  0.4139  4 Mg 2.86-3.05, 2 Cd 2.94-2.98
Mg  0.0000  0.7706  0.7706  6 Cd 2.86-3.05, 2 Mg 3.06
Tm  0.2500  0.6197  0.3803  3 Cd 3.10-3.27
Cd  0.2500  0.9796  0.0204  4 Mg 2.95, 4 Cd 2.98-3.08, 1 Tm 3.10
Cd  0.2500  0.4139  0.8530  4 Mg 2.86-3.05, 2 Cd 2.94-2.98
Cd  0.7500  0.5861  0.1470  4 Mg 2.86-3.05, 2 Cd 2.94-2.98
Tm  0.7500  0.3803  0.6197  3 Cd 3.10-3.27
Mg  0.0000  0.2294  0.2294  6 Cd 2.86-3.05, 2 Mg 3.06

---

Record 2
VASP calculation (PBE) on a geometry-optimized Tm4MgCd5 structure.

Results
- magnetization (μB per cell) = 0.0
- E_tot (eV/atom) = -2.6776
- calculated formation energy (eV/atom) = -0.272

abc: 3.6606 3.6606 18.2727
angles: 90.00 90.00 90.00
Closest atoms and distances in Å follow each position.
Fractional positions:
Cd  0.5000  0.5000  0.9093  4 Mg 3.07, 4 Tm 3.20, 1 Cd 3.31
Tm  0.0000  0.0000  0.3975  8 Cd 3.18-3.19
Mg  0.0000  0.0000  0.0000  8 Cd 3.07
Tm  0.0000  0.0000  0.8065  8 Cd 3.20, 1 Mg 3.54
Cd  0.5000  0.5000  0.2963  8 Tm 3.18-3.20
Cd  0.5000  0.5000  0.5000  8 Tm 3.19
Cd  0.5000  0.5000  0.0907  4 Mg 3.07, 4 Tm 3.20, 1 Cd 3.31
Tm  0.0000  0.0000  0.1935  8 Cd 3.20, 1 Mg 3.54
Cd  0.5000  0.5000  0.7037  8 Tm 3.18-3.20
Tm  0.0000  0.0000  0.6025  8 Cd 3.18-3.19

---

Record 3
VASP calculation (PBE) on a geometry-optimized Tm6MgCd2 structure.

Results
- magnetization (μB per cell) = 0.0
- E_tot (eV/atom) = -3.3658
- calculated formation energy (eV/atom) = -0.004

abc: 6.1852 9.2416 9.0669
angles: 90.00 79.52 90.00
Closest atoms and distances in Å follow each position.
Fractional positions:
Cd  0.3799  0.1107  0.2708  5 Tm 2.96-3.25, 1 Mg 3.02
Tm  0.8789  0.9609  0.1835  1 Mg 3.12, 1 Cd 3.34, 5 Tm 3.38-3.49
Tm  0.1006  0.3379  0.4566  3 Cd 2.96-3.25, 1 Mg 3.19, 1 Tm 3.29
Tm  0.1211  0.0391  0.8165  1 Mg 3.12, 1 Cd 3.34, 5 Tm 3.38-3.49
Tm  0.3789  0.5391  0.6835  1 Mg 3.12, 1 Cd 3.34, 5 Tm 3.38-3.49
Tm  0.8994  0.6621  0.5434  3 Cd 2.96-3.25, 1 Mg 3.19, 1 Tm 3.29
Cd  0.6201  0.8893  0.7292  5 Tm 2.96-3.25, 1 Mg 3.02
Tm  0.6006  0.1621  0.9566  3 Cd 2.96-3.25, 1 Mg 3.19, 1 Tm 3.29
Tm  0.5627  0.1901  0.5706  3 Cd 3.18-3.44, 1 Mg 3.19, 5 Tm 3.38-3.56
Tm  0.0627  0.3099  0.0706  3 Cd 3.18-3.44, 1 Mg 3.19, 5 Tm 3.38-3.56
Tm  0.3994  0.8379  0.0434  3 Cd 2.96-3.25, 1 Mg 3.19, 1 Tm 3.29
Mg  0.5000  0.5000  0.0000  2 Cd 3.02, 6 Tm 3.12-3.19
Tm  0.4373  0.8099  0.4294  3 Cd 3.18-3.44, 1 Mg 3.19, 5 Tm 3.38-3.56
Cd  0.8799  0.3893  0.7708  5 Tm 2.96-3.25, 1 Mg 3.02
Cd  0.1201  0.6107  0.2292  5 Tm 2.96-3.25, 1 Mg 3.02
Mg  0.0000  0.0000  0.5000  2 Cd 3.02, 6 Tm 3.12-3.19
Tm  0.6211  0.4609  0.3165  1 Mg 3.12, 1 Cd 3.34, 5 Tm 3.38-3.49
Tm  0.9373  0.6901  0.9294  3 Cd 3.18-3.44, 1 Mg 3.19, 5 Tm 3.38-3.56

---

Record 4
VASP calculation (PBE) on a geometry-optimized Tm2Mg3Cd4 structure.

Results
- magnetization (μB per cell) = 0.0
- energy above the lowest structure with this stoichiometry (kJ/mol of formula units) = 47
- E_tot (eV/atom) = -2.0865
- calculated formation energy (eV/atom) = -0.155

abc: 6.1234 8.0933 9.1705
angles: 90.00 109.50 90.00
Closest atoms and distances in Å follow each position.
Fractional positions:
Tm  0.5932  0.8940  0.1863  7 Cd 3.25-3.41, 5 Mg 3.47-3.57
Mg  0.9900  0.2500  0.4800  5 Cd 2.90-2.98, 2 Mg 3.06
Tm  0.4068  0.1060  0.8137  7 Cd 3.25-3.41, 5 Mg 3.47-3.57
Mg  0.0000  0.0000  0.0000  6 Cd 2.81-2.85
Cd  0.8195  0.2500  0.1390  3 Mg 2.81-2.95, 2 Cd 3.06
Cd  0.6805  0.7500  0.8610  3 Mg 2.81-2.95, 2 Cd 3.06
Cd  0.1805  0.7500  0.8610  3 Mg 2.81-2.95, 2 Cd 3.06
Mg  0.5000  0.5000  0.0000  6 Cd 2.81-2.85
Mg  0.4900  0.2500  0.4800  5 Cd 2.90-2.98, 2 Mg 3.06
Mg  0.5100  0.7500  0.5200  5 Cd 2.90-2.98, 2 Mg 3.06
Cd  0.3352  0.4773  0.6705  5 Mg 2.85-2.98, 2 Cd 3.15
Tm  0.0932  0.6060  0.1863  7 Cd 3.25-3.41, 5 Mg 3.47-3.57
Cd  0.1648  0.9773  0.3295  5 Mg 2.85-2.98, 2 Cd 3.15
Cd  0.6648  0.5227  0.3295  5 Mg 2.85-2.98, 2 Cd 3.15
Tm  0.9068  0.3940  0.8137  7 Cd 3.25-3.41, 5 Mg 3.47-3.57
Mg  0.0100  0.7500  0.5200  5 Cd 2.90-2.98, 2 Mg 3.06
Cd  0.3195  0.2500  0.1390  3 Mg 2.81-2.95, 2 Cd 3.06
Cd  0.8352  0.0227  0.6705  5 Mg 2.85-2.98, 2 Cd 3.15

---

Record 5
VASP calculation (PBE) on a geometry-optimized TmMg7Cd4 structure.

Results
- magnetization (μB per cell) = 0.0
- E_tot (eV/atom) = -1.5186
- calculated formation energy (eV/atom) = 0.089

abc: 5.4449 8.8837 6.9272
angles: 81.07 66.86 72.15
Closest atoms and distances in Å follow each position.
Fractional positions:
Mg  0.3341  0.5969  0.7350  4 Cd 2.81-3.07
Cd  0.5715  0.2171  0.6398  7 Mg 2.81-3.12, 1 Cd 2.93
Mg  0.0623  0.6307  0.2447  3 Cd 2.83-3.11, 1 Mg 2.96
Mg  0.9377  0.3693  0.7553  3 Cd 2.83-3.11, 1 Mg 2.96
Cd  0.6988  0.6718  0.9306  6 Mg 2.83-3.07, 1 Cd 2.93
Cd  0.3012  0.3282  0.0694  6 Mg 2.83-3.07, 1 Cd 2.93
Mg  0.7813  0.8841  0.5532  4 Cd 2.89-3.12, 2 Mg 2.96-3.05
Cd  0.4285  0.7829  0.3602  7 Mg 2.81-3.12, 1 Cd 2.93
Mg  0.5000  0.0000  0.0000  2 Tm 2.72, 4 Cd 2.83-2.88, 2 Mg 3.05
Mg  0.6659  0.4031  0.2650  4 Cd 2.81-3.07
Mg  0.2187  0.1159  0.4468  4 Cd 2.89-3.12, 2 Mg 2.96-3.05
Tm  0.0000  0.0000  0.0000  2 Mg 2.72

---

Record 6
VASP calculation (PBE) on a geometry-optimized Tm3Mg2Cd7 structure.

Results
- magnetization (μB per cell) = 0.0
- energy above the lowest structure with this stoichiometry (kJ/mol of formula units) = 0
- E_tot (eV/atom) = -2.0479
- calculated formation energy (eV/atom) = -0.130

abc: 3.4541 5.0578 17.2658
angles: 103.27 90.00 90.00
Closest atoms and distances in Å follow each position.
Fractional positions:
Tm  0.5000  0.5000  0.0000  8 Cd 3.06-3.12
Cd  0.5000  0.2839  0.5432  1 Mg 2.80, 2 Cd 2.92
Cd  0.0000  0.4748  0.1484  2 Mg 2.95, 5 Cd 3.08-3.19, 2 Tm 3.12
Cd  0.0000  0.5252  0.8516  2 Mg 2.95, 5 Cd 3.08-3.19, 2 Tm 3.12
Mg  0.5000  0.5834  0.2905  5 Cd 2.80-2.95
Tm  0.0000  0.1538  0.3762  8 Cd 3.29-3.41, 4 Mg 3.37-3.40, 2 Tm 3.45
Cd  0.5000  0.0148  0.2012  2 Mg 2.93-2.95, 4 Cd 3.18-3.19
Cd  0.5000  0.9852  0.7988  2 Mg 2.93-2.95, 4 Cd 3.18-3.19
Mg  0.5000  0.4166  0.7095  5 Cd 2.80-2.95
Tm  0.0000  0.8462  0.6238  8 Cd 3.29-3.41, 4 Mg 3.37-3.40, 2 Tm 3.45
Cd  0.0000  0.0000  0.0000  4 Tm 3.06, 2 Cd 3.08
Cd  0.5000  0.7161  0.4568  1 Mg 2.80, 2 Cd 2.92

---

Record 7
VASP calculation (PBE) on a geometry-optimized Tm8MgCd2 structure.

Results
- magnetization (μB per cell) = 0.0
- E_tot (eV/atom) = -3.6261
- calculated formation energy (eV/atom) = -0.063

abc: 5.2065 7.0947 9.1692
angles: 106.94 106.49 90.00
Closest atoms and distances in Å follow each position.
Fractional positions:
Tm  0.3318  0.0416  0.6636  1 Cd 2.92, 1 Mg 3.06
Cd  0.1893  0.6975  0.3785  5 Tm 2.92-3.26
Tm  0.0258  0.7659  0.0516  1 Cd 3.06, 2 Mg 3.19
Tm  0.8141  0.7243  0.6282  1 Cd 2.97
Tm  0.1859  0.2757  0.3718  1 Cd 2.97
Mg  0.5000  0.0000  0.0000  8 Tm 3.06-3.20
Tm  0.6682  0.9584  0.3364  1 Cd 2.92, 1 Mg 3.06
Tm  0.4058  0.5361  0.8115  1 Mg 3.20, 2 Cd 3.26, 6 Tm 3.35-3.53
Tm  0.5942  0.4639  0.1885  1 Mg 3.20, 2 Cd 3.26, 6 Tm 3.35-3.53
Cd  0.8107  0.3025  0.6215  5 Tm 2.92-3.26
Tm  0.9742  0.2341  0.9484  1 Cd 3.06, 2 Mg 3.19

---

Record 8
VASP calculation (PBE) on a geometry-optimized Tm3MgCd2 structure.

Results
- magnetization (μB per cell) = 0.0
- energy above the lowest structure with this stoichiometry (kJ/mol of formula units) = 0
- E_tot (eV/atom) = -3.0400
- calculated formation energy (eV/atom) = -0.233

abc: 3.7042 5.2322 8.3307
angles: 108.30 90.00 90.00
Closest atoms and distances in Å follow each position.
Fractional positions:
Tm  0.5000  0.1696  0.3391  6 Cd 3.21-3.27, 2 Mg 3.26
Cd  0.0000  0.3400  0.6801  8 Tm 3.14-3.27
Mg  0.0000  0.0000  0.0000  8 Tm 3.21-3.26
Cd  0.0000  0.6600  0.3199  8 Tm 3.14-3.27
Tm  0.5000  0.8304  0.6609  6 Cd 3.21-3.27, 2 Mg 3.26
Tm  0.5000  0.5000  0.0000  4 Cd 3.14, 4 Mg 3.21